# GGA-PBE Mn2OsCl, relaxed
data_Mn2OsCl
_space_group_name_H-M_alt 'A m m 2'
_space_group_IT_number 38
_cell_length_a 2.9167
_cell_length_b 2.9034
_cell_length_c 14.2238
_cell_angle_alpha 90.00
_cell_angle_beta 90.00
_cell_angle_gamma 90.00
loop_
_space_group_symop_operation_xyz
'x,y,z'
'-x,-y,z'
'-x,y,z'
'x,-y,z'
'x,y+1/2,z+1/2'
'-x,-y+1/2,z+1/2'
'-x,y+1/2,z+1/2'
'x,-y+1/2,z+1/2'
loop_
_atom_site_label
_atom_site_type_symbol
_atom_site_fract_x
_atom_site_fract_y
_atom_site_fract_z
Mn1 Mn 0.0000 0.0000 0.0000
Mn2 Mn 0.5000 0.0000 0.3801
Os1 Os 0.5000 0.0000 0.5934
Cl1 Cl 0.0000 0.0000 0.7493
# - Crystal system: orthorhombic
# - Polymorph energy (0 for the lowest one): 0.215 eV/atom
# - Uncorrected formation energy: 296 meV/atom

***

# GGA-PBE KTlCd2Bi, relaxed
data_KTlCd2Bi
_space_group_name_H-M_alt 'P 4/m m m'
_space_group_IT_number 123
_space_group_name_Hall '-P 4 2'
_cell_length_a 5.8567
_cell_length_b 5.8567
_cell_length_c 6.1365
_cell_angle_alpha 90.00
_cell_angle_beta 90.00
_cell_angle_gamma 90.00
loop_
_atom_site_label
_atom_site_type_symbol
_atom_site_fract_x
_atom_site_fract_y
_atom_site_fract_z
K1 K 0.0000 0.0000 0.0000
Tl1 Tl 0.0000 0.0000 0.5000
Cd1 Cd 0.0000 0.5000 0.0000
Bi1 Bi 0.5000 0.5000 0.5000
# - Crystal system: tetragonal
# - Energy of formation from the pure elements: 0.706 eV per atom

***

# GGA-PBE SmMnPtRh, relaxed
data_SmMnPtRh
_space_group_name_H-M_alt 'F -4 3 m'
_space_group_IT_number 216
_space_group_name_Hall 'F -4 2 3'
_cell_length_a 6.6644
_cell_length_b 6.6644
_cell_length_c 6.6644
_cell_angle_alpha 90.00
_cell_angle_beta 90.00
_cell_angle_gamma 90.00
loop_
_atom_site_label
_atom_site_type_symbol
_atom_site_fract_x
_atom_site_fract_y
_atom_site_fract_z
Sm1 Sm 0.0000 0.0000 0.0000
Mn1 Mn 0.0000 0.0000 0.5000
Pt1 Pt 0.2500 0.2500 0.7500
Rh1 Rh 0.2500 0.2500 0.2500
# - Crystal system: cubic
# - Energy of formation from the pure elements: -0.490 eV per atom

***

Size of the total moment / μB per formula unit: 5.15, 0.00, 4.54